No. 1
Entry from Alexandria: a geometry-optimized Li2MgZr structure (PBEsol).

Lattice parameters (Å, degrees): 2.783 5.214 5.771 94.20 90.00 105.48
Fractional positions:
Li (0.249, 0.497, 0.246)
Zr (0.000, 0.000, 0.500)
Li (0.751, 0.503, 0.754)
Mg (0.500, 0.000, 0.000)

Properties
- SG: No. 12
- Calculated formation energy: 0.179 eV/atom

***

No. 2
Entry from Alexandria: a geometry-optimized LiMgZr structure (PBEsol).

Lattice parameters (Å, degrees): 4.653 4.653 4.653 60.00 60.00 60.00
Fractional positions:
Mg (0.250, 0.250, 0.250)
Li (0.500, 0.500, 0.500)
Zr (0.000, 0.000, 0.000)

Properties
- SG: No. 216
- Calculated formation energy: 0.885 eV/atom

***

No. 3
Entry from Alexandria: a geometry-optimized Li2MgZr structure (PBEsol).

Lattice parameters (Å, degrees): 2.805 4.525 6.189 90.00 90.00 90.00
Fractional positions:
Mg (0.500, 0.500, 0.000)
Zr (0.500, 0.500, 0.500)
Li (0.000, 0.000, 0.754)
Li (0.000, 0.000, 0.246)

Properties
- SG: No. 47
- Calculated formation energy: 0.205 eV/atom

***

No. 4
Entry from Alexandria: a geometry-optimized LiMn structure (PBEsol).

Lattice parameters (Å, degrees): 2.387 2.387 4.741 75.42 75.42 60.00
Fractional positions:
Li (0.000, 0.000, 0.000)
Mn (0.500, 0.500, 0.500)

Properties
- SG: No. 166
- Calculated formation energy: 0.451 eV/atom

***

no.,total energy (eV/atom)
1,-3.506
2,-3.373
3,-3.480
4,-5.413